! FeSe PBE-GGA optimized geometry; values from VASP
! VASP energy: -5.643 eV/atom
! E_form (uncorrected): 0.33 eV per atom
&SYSTEM
  ibrav = 0, nat = 4, ntyp = 2
/
ATOMIC_SPECIES
Fe 55.84 Fe.upf
Se 78.96 Se.upf
ATOMIC_POSITIONS angstrom
Fe 0.0000 0.0000 0.0000
Fe 2.0751 2.5316 1.2376
Se 5.3291 2.8868 0.0000
Se 3.2540 0.3552 1.2376
CELL_PARAMETERS angstrom
6.5080 0.7104 0.0000
4.1501 5.0632 0.0000
-5.3291 -2.8868 2.4752


! Rb2Mo4N PBE-GGA optimized geometry; values from VASP
! VASP energy: -6.627 eV/atom
! E_form (uncorrected): 1.03 eV per atom
&SYSTEM
  ibrav = 0, nat = 7, ntyp = 3
/
ATOMIC_SPECIES
Mo 95.94 Mo.upf
Rb 85.47 Rb.upf
N 14.01 N.upf
ATOMIC_POSITIONS angstrom
Mo 4.0910 4.0910 1.9333
Mo 2.0455 2.0455 10.5893
Mo 0.0000 2.0455 0.0000
Mo 2.0455 0.0000 0.0000
Rb 4.0910 4.0910 8.3068
Rb 2.0455 2.0455 4.2157
N 0.0000 0.0000 0.0000
CELL_PARAMETERS angstrom
4.0910 0.0000 0.0000
0.0000 4.0910 0.0000
2.0455 2.0455 12.5226


! Sb2PSI PBE-GGA optimized geometry; values from VASP
! VASP energy: -3.070 eV/atom
! E_form (uncorrected): 0.80 eV per atom
&SYSTEM
  ibrav = 0, nat = 5, ntyp = 4
/
ATOMIC_SPECIES
I 126.90 I.upf
Sb 121.76 Sb.upf
S 32.06 S.upf
P 30.97 P.upf
ATOMIC_POSITIONS angstrom
I 0.0000 0.0000 2.5859
Sb 0.0000 2.6619 0.0000
Sb 2.6619 0.0000 0.0000
S 2.6619 2.6619 2.5859
P 0.0000 0.0000 0.0000
CELL_PARAMETERS angstrom
5.3237 0.0000 0.0000
0.0000 5.3237 0.0000
0.0000 0.0000 5.1717